## HfNbSeN2 (GGA-PBEsol)

Data for crystalline HfNbSeN2 at its relaxed geometry.

The space group is P4/mmm (No. 123) and the conventional cell measures 3.990, 3.990 and 5.024 Å, with angles of 90.00, 90.00 and 90.00 degrees. The distinct sites, in fractional coordinates, are Hf at (0.000, 0.000, 0.000), Nb at (0.500, 0.500, 0.500), Se at (0.500, 0.500, 0.000) and N at (0.000, 0.500, 0.500).

The value obtained for the raw formation energy is 35.4 meV/atom. The calculation puts the electronic total energy at -42.05 eV/f.u.

***

## HfNiN2 (GGA-PBEsol)

Data for crystalline HfNiN2 at its relaxed geometry.

The space group is I-42d (No. 122) and the conventional cell measures 4.400, 4.400 and 9.923 Å, with angles of 90.00, 90.00 and 90.00 degrees. The distinct sites, in fractional coordinates, are Hf at (0.000, 0.000, 0.000), Ni at (0.000, 0.000, 0.500) and N at (0.226, 0.250, 0.625).

The value obtained for the raw formation energy is -694.5 meV/atom. The calculation puts the electronic total energy at -36.49 eV/f.u.

***

Q: Number 2 is which compound?
A: HfNiN2